# 1
DFT (GGA-PBE) results for PrEr2Th2 after structural relaxation.

The value obtained for the relative energy among the computed polymorphs is 0.08 eV per formula unit.

a = 3.5721 Å, b = 3.5721 Å, c = 14.6406 Å
α = 90.00°, β = 90.00°, γ = 120.00°
Space group P-3m1 (No. 164)
Inequivalent atoms, fractional coordinates:
1 Pr 0.0000 0.0000 0.0000
2 Er 0.3333 0.6667 0.7987
3 Th 0.3333 0.6667 0.4009

=====

# 2
DFT (GGA-PBE) results for PrEr4Th2 after structural relaxation.

The value obtained for the relative energy among the computed polymorphs is 0.03 eV per formula unit.

a = 3.472 Å, b = 8.631 Å, c = 8.704 Å
α = 63.42°, β = 89.89°, γ = 78.65°
Space group P-1 (No. 2)
Inequivalent atoms, fractional coordinates:
1 Pr 0.000 0.000 0.000
2 Er 0.079 0.836 0.700
3 Er 0.359 0.283 0.588
4 Th 0.224 0.563 0.138

=====

# 3
DFT (GGA-PBE) results for PrEr4Th5 after structural relaxation.

a = 22.417 Å, b = 3.527 Å, c = 8.372 Å
α = 90.00°, β = 91.91°, γ = 90.00°
Space group C2/m (No. 12)
Inequivalent atoms, fractional coordinates:
1 Pr 0.000 0.000 0.000
2 Er 0.093 0.500 0.740
3 Er 0.179 0.000 0.009
4 Th 0.000 0.000 0.500
5 Th 0.115 0.500 0.328
6 Th 0.236 0.500 0.664

=====

# 4
DFT (GGA-PBE) results for Pr11Er9Th4 after structural relaxation.

a = 17.102 Å, b = 25.862 Å, c = 3.711 Å
α = 90.00°, β = 90.00°, γ = 90.00°
Space group Cmmm (No. 65)
Inequivalent atoms, fractional coordinates:
1 Pr 0.000 0.000 0.000
2 Pr 0.000 0.159 0.000
3 Pr 0.000 0.368 0.000
4 Pr 0.208 0.500 0.000
5 Pr 0.226 0.181 0.000
6 Er 0.000 0.500 0.500
7 Er 0.101 0.265 0.500
8 Er 0.139 0.073 0.500
9 Th 0.157 0.398 0.500

=====

# 5
DFT (GGA-PBE) results for Pr2Er7Th2 after structural relaxation.

a = 11.135 Å, b = 11.501 Å, c = 6.124 Å
α = 90.00°, β = 113.82°, γ = 90.00°
Space group C2/m (No. 12)
Inequivalent atoms, fractional coordinates:
1 Pr 0.000 0.211 0.000
2 Er 0.000 0.000 0.500
3 Er 0.171 0.239 0.669
4 Er 0.246 0.000 0.075
5 Th 0.094 0.500 0.315

=====

# 6
DFT (GGA-PBE) results for Pr2Er12Th5 after structural relaxation.

The value obtained for the relative energy among the computed polymorphs is 0.00 eV per formula unit.

a = 6.012 Å, b = 9.805 Å, c = 11.067 Å
α = 70.05°, β = 83.43°, γ = 89.05°
Space group P-1 (No. 2)
Inequivalent atoms, fractional coordinates:
1 Pr 0.207 0.429 0.085
2 Er 0.051 0.174 0.399
3 Er 0.082 0.822 0.018
4 Er 0.117 0.094 0.713
5 Er 0.343 0.689 0.774
6 Er 0.449 0.316 0.841
7 Er 0.465 0.676 0.470
8 Th 0.019 0.540 0.345
9 Th 0.397 0.030 0.152
10 Th 0.500 0.000 0.500

=====

no.,total magnetization (μB per cell),density of states at the Fermi level (states/eV/f.u.),VASP energy (eV per formula unit)
1,0.0,6.475,-28.6
2,0.0,10.388,-36.9
3,0.0,15.347,-58.1
4,0.0,34.398,-120.5
5,0.0,17.522,-54.3
6,0.0,28.436,-98.6